(1)
VASP calculation (GGA-PBE) on a geometry-optimized Lu4NiGeC2 structure.

Cell lengths 3.5014, 3.5014, 13.7405 Å; angles 90.00, 90.00, 120.00 degrees
With the nearest neighbours (Å) after each atom.
Space group P-6m2 (No. 187)
Asymmetric unit:
Lu1 0.0000 0.0000 0.1411 [2 per cell]  3 C 2.41
Lu2 0.6667 0.3333 0.3313 [2 per cell]  3 C 2.40
Ni1 0.6667 0.3333 0.0000 [1 per cell]  6 Lu 2.80
Ge1 0.0000 0.0000 0.5000 [1 per cell]  6 Lu 3.08
C1 0.3333 0.6667 0.2372 [2 per cell]  6 Lu 2.40-2.41

Output
Volume   146 Å³ per cell
Total energy   -6.26 eV per atom



(2)
VASP calculation (GGA-PBE) on a geometry-optimized Pr3Si2S8I structure.

Cell lengths 16.0355, 7.9040, 10.9178 Å; angles 90.00, 98.08, 90.00 degrees
With the nearest neighbours (Å) after each atom.
Space group C2/c (No. 15)
Asymmetric unit:
Pr1 0.0000 0.0982 0.2500 [4 per cell]  6 S 2.91-3.26
Pr2 0.1988 0.3774 0.6814 [8 per cell]  8 S 2.94-3.11
Si1 0.1597 0.0374 0.0293 [8 per cell]  4 S 2.12-2.14
S1 0.0680 0.1535 0.5427 [8 per cell]  1 Si 2.13
S2 0.1450 0.2451 0.1475 [8 per cell]  1 Si 2.12
S3 0.1495 0.0995 0.8384 [8 per cell]  1 Si 2.13
S4 0.2182 0.4305 0.4142 [8 per cell]  1 Si 2.14
I1 0.0000 0.4865 0.7500 [4 per cell]  3 Pr 3.28-3.48, 2 S 3.45

Output
Volume   1370 Å³ per cell
Total energy   -5.72 eV per atom



(3)
VASP calculation (GGA-PBE) on a geometry-optimized CdSnSbP structure.

Cell lengths 8.9042, 8.9061, 7.5179 Å; angles 90.00, 125.35, 90.00 degrees
With the nearest neighbours (Å) after each atom.
Space group Cc (No. 9)
Asymmetric unit:
Cd1 0.0000 0.1442 0.0000 [4 per cell]  2 P 2.59, 2 Sb 2.84
Sn1 0.0356 0.3909 0.4993 [4 per cell]  2 P 2.57, 2 Sb 2.84
Sb1 0.1450 0.1237 0.7500 [4 per cell]  2 Sn 2.84, 2 Cd 2.84
P1 0.1442 0.3775 0.2492 [4 per cell]  2 Sn 2.57, 2 Cd 2.59

Output
ΔE to the lowest computed polymorph   0 meV/atom
Volume   486 Å³ per cell



(4)
VASP calculation (GGA-PBE) on a geometry-optimized LiScFeSe3 structure.

Cell lengths 10.2452, 3.8039, 12.7608 Å; angles 90.00, 90.00, 90.00 degrees
With the nearest neighbours (Å) after each atom.
Space group Pnma (No. 62)
Asymmetric unit:
Li1 0.2502 0.2500 0.0250 [4 per cell]  6 Se 2.86-2.99, 2 Fe 3.20
Sc1 0.0014 0.2500 0.2500 [4 per cell]  6 Se 2.70-2.83
Fe1 0.2487 0.2500 0.7268 [4 per cell]  4 Se 2.38-2.42
Se1 0.0675 0.2500 0.6099 [4 per cell]  1 Fe 2.38
Se2 0.0698 0.7500 0.1098 [4 per cell]  1 Fe 2.38
Se3 0.2487 0.7500 0.8445 [4 per cell]  2 Fe 2.42

Output
ΔE to the lowest computed polymorph   62 meV/atom
Volume   497 Å³ per cell